This record from Alexandria via LeMat-Bulk describes a relaxed structure of La2InNiO6. The functional is GGA+U.

Computed properties:
Total energy (eV per atom): -6.782
Crystal system: monoclinic

a = 5.6084 Å, b = 5.6806 Å, c = 9.8315 Å
α = 90.00°, β = 122.19°, γ = 90.00°
Last column: nearest neighbours and their distance in Å.
Atoms (fractional coordinates):
La: 0.2296 0.0463 0.2449  6 O 2.37-2.64
La: 0.2296 0.4537 0.7449  6 O 2.37-2.64
La: 0.7704 0.5463 0.2551  6 O 2.37-2.64
La: 0.7704 0.9537 0.7551  6 O 2.37-2.64
In: 0.5000 0.0000 0.0000  6 O 2.14-2.20
In: 0.5000 0.5000 0.5000  6 O 2.14-2.20
Ni: 0.0000 0.0000 0.5000  4 O 1.95
Ni: 0.0000 0.5000 0.0000  4 O 1.95
O: 0.1392 0.2224 0.9462  1 Ni 1.95
O: 0.1392 0.2776 0.4462  1 Ni 1.95
O: 0.2150 0.6982 0.9418  1 Ni 1.95
O: 0.2150 0.8018 0.4418  1 Ni 1.95
O: 0.3504 0.0293 0.7503  1 In 2.14, 1 Ni 2.19, 1 La 2.37
O: 0.3504 0.4707 0.2503  1 In 2.14, 1 Ni 2.19, 1 La 2.37
O: 0.6496 0.5293 0.7497  1 In 2.14, 1 Ni 2.19, 1 La 2.37
O: 0.6496 0.9707 0.2497  1 In 2.14, 1 Ni 2.19, 1 La 2.37
O: 0.7850 0.1982 0.5582  1 Ni 1.95
O: 0.7850 0.3018 0.0582  1 Ni 1.95
O: 0.8608 0.7224 0.5538  1 Ni 1.95
O: 0.8608 0.7776 0.0538  1 Ni 1.95